This record from Alexandria via LeMat-Bulk describes a relaxed structure of CaPmTh. The functional is GGA-PBE.

Unit cell a=3.5967 b=3.5967 c=16.5655 alpha=90.00 beta=90.00 gamma=90.00
With the nearest neighbours (Å) after each atom.
Space group I4mm (No. 107)
Asymmetric unit:
Ca 0.0000 0.0000 0.0000  4 Ca 3.60, 4 Th 3.82, 4 Pm 3.93
Pm 0.0000 0.0000 0.6809  4 Th 3.52, 4 Pm 3.60, 4 Ca 3.93
Th 0.0000 0.0000 0.3276  4 Pm 3.52, 4 Th 3.60, 4 Ca 3.82

Results
Polymorph energy (0 for the lowest one) (eV per atom): 0.072
Formation enthalpy at 0 K (eV per atom): 0.109